[1]
A relaxed structure of ReMoP2, computed with PBE.

Results
- ΔH_f (0 K): 0.251 eV per atom
- E above lowest polymorph: 649 meV/atom

Cell and atoms, written as CIF:
```
data_ReMoP2
_chemical_formula_sum 'Re2 Mo2 P4'
_symmetry_space_group_name_H-M 'I m m m'
_symmetry_Int_Tables_number 71
_symmetry_space_group_name_Hall '-I 2 2'
_cell_length_a 3.0071
_cell_length_b 5.0360
_cell_length_c 7.6750
_cell_angle_alpha 90.00
_cell_angle_beta 90.00
_cell_angle_gamma 90.00
loop_
_atom_site_label
_atom_site_fract_x
_atom_site_fract_y
_atom_site_fract_z
Re1 0.0000 0.0000 0.0000
Mo1 0.0000 0.0000 0.5000
P1 0.0000 0.5000 0.2551
```


[2]
A relaxed structure of Re3MoP, computed with PBE.

Results
- ΔH_f (0 K): 0.878 eV per atom

Cell and atoms, written as CIF:
```
data_Re3MoP
_chemical_formula_sum 'Re3 Mo1 P1'
_symmetry_space_group_name_H-M 'P m -3 m'
_symmetry_Int_Tables_number 221
_symmetry_space_group_name_Hall '-P 4 2 3'
_cell_length_a 4.3404
_cell_length_b 4.3404
_cell_length_c 4.3404
_cell_angle_alpha 90.00
_cell_angle_beta 90.00
_cell_angle_gamma 90.00
loop_
_atom_site_label
_atom_site_fract_x
_atom_site_fract_y
_atom_site_fract_z
Re1 0.0000 0.0000 0.5000
Mo1 0.5000 0.5000 0.5000
P1 0.0000 0.0000 0.0000
```


[3]
A relaxed structure of ReMo3P, computed with PBE.

Results
- ΔH_f (0 K): 0.772 eV per atom
- E above lowest polymorph: 0 meV/atom

Cell and atoms, written as CIF:
```
data_ReMo3P
_chemical_formula_sum 'Re1 Mo3 P1'
_symmetry_space_group_name_H-M 'P m -3 m'
_symmetry_Int_Tables_number 221
_symmetry_space_group_name_Hall '-P 4 2 3'
_cell_length_a 4.3831
_cell_length_b 4.3831
_cell_length_c 4.3831
_cell_angle_alpha 90.00
_cell_angle_beta 90.00
_cell_angle_gamma 90.00
loop_
_atom_site_label
_atom_site_fract_x
_atom_site_fract_y
_atom_site_fract_z
Re1 0.0000 0.0000 0.0000
Mo1 0.0000 0.5000 0.5000
P1 0.5000 0.5000 0.5000
```


[4]
A relaxed structure of ReMoP, computed with PBE.

Results
- ΔH_f (0 K): 0.272 eV per atom
- E above lowest polymorph: 471 meV/atom

Cell and atoms, written as CIF:
```
data_ReMoP
_chemical_formula_sum 'Re4 Mo4 P4'
_symmetry_space_group_name_H-M 'F m m 2'
_symmetry_Int_Tables_number 42
_symmetry_space_group_name_Hall 'F 2 -2'
_cell_length_a 3.0380
_cell_length_b 4.8337
_cell_length_c 11.9962
_cell_angle_alpha 90.00
_cell_angle_beta 90.00
_cell_angle_gamma 90.00
loop_
_atom_site_label
_atom_site_fract_x
_atom_site_fract_y
_atom_site_fract_z
Re1 0.0000 0.0000 0.0000
Mo1 0.0000 0.0000 0.6905
P1 0.0000 0.0000 0.3478
```


[5]
A relaxed structure of ReMo2P, computed with PBE.

Results
- ΔH_f (0 K): 0.059 eV per atom

Cell and atoms, written as CIF:
```
data_ReMo2P
_chemical_formula_sum 'Re3 Mo6 P3'
_symmetry_space_group_name_H-M 'R -3 m'
_symmetry_Int_Tables_number 166
_symmetry_space_group_name_Hall '-R 3 2"'
_cell_length_a 2.8842
_cell_length_b 2.8842
_cell_length_c 24.7585
_cell_angle_alpha 90.00
_cell_angle_beta 90.00
_cell_angle_gamma 120.00
loop_
_atom_site_label
_atom_site_fract_x
_atom_site_fract_y
_atom_site_fract_z
Re1 0.0000 0.0000 0.0000
Mo1 0.0000 0.0000 0.2433
P1 0.0000 0.0000 0.5000
```


[6]
A relaxed structure of ReMo2P, computed with PBE.

Results
- ΔH_f (0 K): 0.158 eV per atom

Cell and atoms, written as CIF:
```
data_ReMo2P
_chemical_formula_sum 'Re2 Mo4 P2'
_symmetry_space_group_name_H-M 'I -4 m 2'
_symmetry_Int_Tables_number 119
_symmetry_space_group_name_Hall 'I -4 -2'
_cell_length_a 3.6755
_cell_length_b 3.6755
_cell_length_c 8.7095
_cell_angle_alpha 90.00
_cell_angle_beta 90.00
_cell_angle_gamma 90.00
loop_
_atom_site_label
_atom_site_fract_x
_atom_site_fract_y
_atom_site_fract_z
Re1 0.0000 0.0000 0.0000
Mo1 0.0000 0.0000 0.5000
Mo2 0.0000 0.5000 0.7500
P1 0.0000 0.5000 0.2500
```


[7]
A relaxed structure of ReMo2P, computed with PBE.

Results
- ΔH_f (0 K): -0.109 eV per atom

Cell and atoms, written as CIF:
```
data_ReMo2P
_chemical_formula_sum 'Re1 Mo2 P1'
_symmetry_space_group_name_H-M 'P 4/m m m'
_symmetry_Int_Tables_number 123
_symmetry_space_group_name_Hall '-P 4 2'
_cell_length_a 2.9112
_cell_length_b 2.9112
_cell_length_c 6.8295
_cell_angle_alpha 90.00
_cell_angle_beta 90.00
_cell_angle_gamma 90.00
loop_
_atom_site_label
_atom_site_fract_x
_atom_site_fract_y
_atom_site_fract_z
Re1 0.0000 0.0000 0.0000
Mo1 0.5000 0.5000 0.2748
P1 0.0000 0.0000 0.5000
```


[8]
A relaxed structure of Re4MoP, computed with PBE.

Results
- ΔH_f (0 K): 0.734 eV per atom

Cell and atoms, written as CIF:
```
data_Re4MoP
_chemical_formula_sum 'Re16 Mo4 P4'
_symmetry_space_group_name_H-M 'F -4 3 m'
_symmetry_Int_Tables_number 216
_symmetry_space_group_name_Hall 'F -4 2 3'
_cell_length_a 7.3115
_cell_length_b 7.3115
_cell_length_c 7.3115
_cell_angle_alpha 90.00
_cell_angle_beta 90.00
_cell_angle_gamma 90.00
loop_
_atom_site_label
_atom_site_fract_x
_atom_site_fract_y
_atom_site_fract_z
Re1 0.1245 0.1245 0.3755
Mo1 0.0000 0.0000 0.0000
P1 0.2500 0.2500 0.7500
```


| no. | M_tot (Bohr magnetons per cell) | DFT total energy (eV per atom) |
| --- | --- | --- |
| 1 | 0.000 | -8.27 |
| 2 | 0.419 | -9.84 |
| 3 | 0.000 | -9.30 |
| 4 | 0.000 | -9.29 |
| 5 | 0.000 | -9.82 |
| 6 | 0.000 | -9.72 |
| 7 | 0.000 | -9.99 |
| 8 | 0.011 | -10.27 |